No. 1
Compound: Ti6GaSn
Source: Alexandria via LeMat-Bulk
Functional: PBE
Structure: relaxed

Cell lengths 4.711, 5.806, 5.806 Å; angles 119.91, 90.00, 90.00 degrees
Sites, in units of the cell vectors:
Sn1 0.500 0.417 0.583
Ti1 0.000 0.585 0.415
Ti2 0.000 0.081 0.415
Ti3 0.000 0.585 0.919
Ti4 0.500 0.918 0.588
Ti5 0.500 0.918 0.082
Ga1 0.000 0.083 0.917
Ti6 0.500 0.412 0.082

## Properties
For the formation energy, the calculation gives -296 meV per atom. As for the total energy: -7.10 eV per atom. The value obtained for the magnetic moment is 0.00 μB per cell. As for the symmetry: No. 38. As for the calculated density: 5.7 g/cm3.

***

No. 2
Compound: Ti7GaSn3
Source: Alexandria via LeMat-Bulk
Functional: PBE
Structure: relaxed

Cell lengths 5.013, 7.044, 7.044 Å; angles 90.84, 110.83, 110.83 degrees
Site moments in Bohr magnetons follow the coordinates.
Sites, in units of the cell vectors:
Ti1 0.194 0.194 0.194  0.31
Ti2 0.334 0.081 0.586  0.59
Sn1 0.000 0.771 0.229  -0.02
Ga1 0.500 0.500 0.500  -0.01
Sn2 0.000 0.229 0.771  -0.02
Ti3 0.666 0.919 0.414  0.59
Ti4 0.666 0.414 0.919  0.59
Ti5 0.000 0.500 0.500  -0.33
Sn3 0.500 0.000 0.000  -0.01
Ti6 0.806 0.806 0.806  0.31
Ti7 0.334 0.586 0.081  0.59

## Properties
For the formation energy, the calculation gives -51 meV per atom. As for the total energy: -6.44 eV per atom. The value obtained for the magnetic moment is 3.31 μB per cell. As for the symmetry: No. 71. As for the calculated density: 5.9 g/cm3.

***

No. 3
Compound: TiGa2Sn2
Source: Alexandria via LeMat-Bulk
Functional: PBE
Structure: relaxed

Cell lengths 7.224, 7.224, 3.975 Å; angles 90.00, 90.00, 90.00 degrees
Sites, in units of the cell vectors:
Ti1 0.500 0.500 0.000
Ga1 0.364 0.864 0.000
Ga2 0.136 0.364 0.000
Sn1 0.831 0.331 0.500
Sn2 0.331 0.169 0.500
Sn3 0.169 0.669 0.500
Ti2 0.000 0.000 0.000
Ga3 0.636 0.136 0.000
Ga4 0.864 0.636 0.000
Sn4 0.669 0.831 0.500

## Properties
For the formation energy, the calculation gives 53 meV per atom. As for the total energy: -4.34 eV per atom. The value obtained for the magnetic moment is 0.00 μB per cell. As for the symmetry: No. 127. As for the calculated density: 6.8 g/cm3.

***

No. 4
Compound: Ti3GaSn
Source: Alexandria via LeMat-Bulk
Functional: PBE
Structure: relaxed

Cell lengths 5.223, 6.426, 6.426 Å; angles 120.00, 90.00, 90.00 degrees
Site moments in Bohr magnetons follow the coordinates.
Sites, in units of the cell vectors:
Ga1 0.500 0.000 0.000  -0.01
Sn1 0.750 0.667 0.333  -0.01
Ti1 0.250 0.806 0.612  0.17
Ti2 0.250 0.388 0.194  0.17
Ti3 0.250 0.806 0.194  0.18
Ga2 0.000 0.000 0.000  -0.01
Ti4 0.750 0.194 0.806  0.18
Ti5 0.750 0.194 0.388  0.17
Ti6 0.750 0.612 0.806  0.17
Sn2 0.250 0.333 0.667  -0.01

## Properties
For the formation energy, the calculation gives -92 meV per atom. As for the total energy: -6.23 eV per atom. The value obtained for the magnetic moment is 1.19 μB per cell. As for the symmetry: No. 194. As for the calculated density: 5.9 g/cm3.

***

No. 5
Compound: Ti6GaSn
Source: Alexandria via LeMat-Bulk
Functional: PBE
Structure: relaxed

Cell lengths 4.784, 4.784, 7.375 Å; angles 78.86, 78.86, 69.44 degrees
Sites, in units of the cell vectors:
Ti1 0.050 0.543 0.286
Sn1 0.500 0.500 0.500
Ti2 0.950 0.457 0.714
Ga1 0.000 0.000 0.000
Ti3 0.624 0.624 0.071
Ti4 0.376 0.376 0.929
Ti5 0.543 0.050 0.286
Ti6 0.457 0.950 0.714

## Properties
For the formation energy, the calculation gives 95 meV per atom. As for the total energy: -6.71 eV per atom. The value obtained for the magnetic moment is 0.00 μB per cell. As for the symmetry: No. 12. As for the calculated density: 5.1 g/cm3.

***

No. 6
Compound: Ti6Ga6Sn
Source: Alexandria via LeMat-Bulk
Functional: PBE
Structure: relaxed

Cell lengths 5.235, 5.235, 9.292 Å; angles 90.00, 90.00, 120.00 degrees
Site moments in Bohr magnetons follow the coordinates.
Sites, in units of the cell vectors:
Ti1 0.000 0.000 0.371  0.53
Ga1 0.000 0.500 0.252  0.00
Ga2 0.500 0.000 0.252  0.00
Ti2 0.333 0.667 0.000  0.05
Sn1 0.000 0.000 0.000  0.01
Ga3 0.000 0.500 0.748  0.00
Ga4 0.500 0.500 0.748  0.00
Ga5 0.500 0.000 0.748  0.00
Ti3 0.333 0.667 0.500  -0.17
Ti4 0.667 0.333 0.000  0.05
Ti5 0.000 0.000 0.629  0.53
Ti6 0.667 0.333 0.500  -0.17
Ga6 0.500 0.500 0.252  0.00

## Properties
For the formation energy, the calculation gives -329 meV per atom. As for the total energy: -5.68 eV per atom. The value obtained for the magnetic moment is 0.90 μB per cell. As for the symmetry: No. 191. As for the calculated density: 6.2 g/cm3.

***

Q: What is the calculated density in the second record?
A: 5.9 g/cm3